First-principles (PBE) data for crystalline Y2CdFe at its relaxed geometry, as listed in the Alexandria database.

Structure (CIF):
```
data_Y2CdFe
_chemical_formula_sum 'Y8 Cd4 Fe4'
_space_group_name_H-M_alt 'I -4 2 d'
_space_group_IT_number 122
_space_group_name_Hall 'I -4 2bw'
_cell_length_a 7.9258
_cell_length_b 7.9258
_cell_length_c 6.0706
_cell_angle_alpha 90.00
_cell_angle_beta 90.00
_cell_angle_gamma 90.00
loop_
_atom_site_label
_atom_site_type_symbol
_atom_site_fract_x
_atom_site_fract_y
_atom_site_fract_z
Y1 Y 0.1851 0.2500 0.1250
Cd1 Cd 0.0000 0.0000 0.5000
Fe1 Fe 0.0000 0.0000 0.0000
```

Uncorrected energy   -5.265 eV per atom
Size of the total moment   0.00 μB per cell
Calculated volume   381 Å³ per cell
Mass density   6.0 g/cm3
Crystal system   tetragonal


First-principles (PBE) data for crystalline YCdFe2 at its relaxed geometry, as listed in the Alexandria database.

Structure (CIF):
```
data_YCdFe2
_chemical_formula_sum 'Y2 Cd2 Fe4'
_space_group_name_H-M_alt 'I -4 m 2'
_space_group_IT_number 119
_space_group_name_Hall 'I -4 -2'
_cell_length_a 4.1293
_cell_length_b 4.1293
_cell_length_c 8.5172
_cell_angle_alpha 90.00
_cell_angle_beta 90.00
_cell_angle_gamma 90.00
loop_
_atom_site_label
_atom_site_type_symbol
_atom_site_fract_x
_atom_site_fract_y
_atom_site_fract_z
Y1 Y 0.0000 0.0000 0.0000
Cd1 Cd 0.0000 0.5000 0.7500
Fe1 Fe 0.0000 0.0000 0.5000
Fe2 Fe 0.0000 0.5000 0.2500
```

Uncorrected energy   -5.806 eV per atom
Size of the total moment   8.93 μB per cell
Calculated volume   145 Å³ per cell
Mass density   7.2 g/cm3
Crystal system   tetragonal


First-principles (PBE) data for crystalline YCd2Fe at its relaxed geometry, as listed in the Alexandria database.

Structure (CIF):
```
data_YCd2Fe
_chemical_formula_sum 'Y1 Cd2 Fe1'
_space_group_name_H-M_alt 'P 4/m m m'
_space_group_IT_number 123
_space_group_name_Hall '-P 4 2'
_cell_length_a 4.3112
_cell_length_b 4.3112
_cell_length_c 4.6041
_cell_angle_alpha 90.00
_cell_angle_beta 90.00
_cell_angle_gamma 90.00
loop_
_atom_site_label
_atom_site_type_symbol
_atom_site_fract_x
_atom_site_fract_y
_atom_site_fract_z
Y1 Y 0.0000 0.0000 0.0000
Cd1 Cd 0.0000 0.5000 0.5000
Fe1 Fe 0.5000 0.5000 0.0000
```

Uncorrected energy   -4.095 eV per atom
Size of the total moment   2.07 μB per cell
Calculated volume   86 Å³ per cell
Mass density   7.2 g/cm3
Crystal system   tetragonal


First-principles (PBE) data for crystalline YCdFe2 at its relaxed geometry, as listed in the Alexandria database.

Structure (CIF):
```
data_YCdFe2
_chemical_formula_sum 'Y2 Cd2 Fe4'
_space_group_name_H-M_alt 'C 1 2/m 1'
_space_group_IT_number 12
_cell_length_a 8.7827
_cell_length_b 3.9646
_cell_length_c 5.1425
_cell_angle_alpha 90.00
_cell_angle_beta 118.43
_cell_angle_gamma 90.00
loop_
_space_group_symop_operation_xyz
'x,y,z'
'-x,-y,-z'
'-x,y,-z'
'x,-y,z'
'x+1/2,y+1/2,z'
'-x+1/2,-y+1/2,-z'
'-x+1/2,y+1/2,-z'
'x+1/2,-y+1/2,z'
loop_
_atom_site_label
_atom_site_type_symbol
_atom_site_fract_x
_atom_site_fract_y
_atom_site_fract_z
Y1 Y 0.0000 0.0000 0.0000
Cd1 Cd 0.0000 0.5000 0.5000
Fe1 Fe 0.2322 0.0000 0.6164
```

Uncorrected energy   -5.842 eV per atom
Size of the total moment   8.00 μB per cell
Calculated volume   157 Å³ per cell
Mass density   6.6 g/cm3
Crystal system   monoclinic


First-principles (PBE) data for crystalline Y2CdFe at its relaxed geometry, as listed in the Alexandria database.

Structure (CIF):
```
data_Y2CdFe
_chemical_formula_sum 'Y2 Cd1 Fe1'
_space_group_name_H-M_alt 'P 4 m m'
_space_group_IT_number 99
_cell_length_a 3.4974
_cell_length_b 3.4974
_cell_length_c 7.8399
_cell_angle_alpha 90.00
_cell_angle_beta 90.00
_cell_angle_gamma 90.00
loop_
_space_group_symop_operation_xyz
'x,y,z'
'-y,x,z'
'-x,-y,z'
'y,-x,z'
'-x,y,z'
'y,x,z'
'x,-y,z'
'-y,-x,z'
loop_
_atom_site_label
_atom_site_type_symbol
_atom_site_fract_x
_atom_site_fract_y
_atom_site_fract_z
Y1 Y 0.0000 0.0000 0.0000
Y2 Y 0.5000 0.5000 0.3428
Cd1 Cd 0.0000 0.0000 0.6039
Fe1 Fe 0.5000 0.5000 0.7811
```

Uncorrected energy   -5.461 eV per atom
Size of the total moment   2.69 μB per cell
Calculated volume   96 Å³ per cell
Mass density   6.0 g/cm3
Crystal system   tetragonal


First-principles (PBE) data for crystalline Y3CdFe at its relaxed geometry, as listed in the Alexandria database.

Structure (CIF):
```
data_Y3CdFe
_chemical_formula_sum 'Y12 Cd4 Fe4'
_space_group_name_H-M_alt 'C 1 2/m 1'
_space_group_IT_number 12
_cell_length_a 16.1766
_cell_length_b 3.6349
_cell_length_c 8.8062
_cell_angle_alpha 90.00
_cell_angle_beta 92.68
_cell_angle_gamma 90.00
loop_
_space_group_symop_operation_xyz
'x,y,z'
'-x,-y,-z'
'-x,y,-z'
'x,-y,z'
'x+1/2,y+1/2,z'
'-x+1/2,-y+1/2,-z'
'-x+1/2,y+1/2,-z'
'x+1/2,-y+1/2,z'
loop_
_atom_site_label
_atom_site_type_symbol
_atom_site_fract_x
_atom_site_fract_y
_atom_site_fract_z
Y1 Y 0.0593 0.0000 0.2230
Y2 Y 0.0992 0.5000 0.5599
Y3 Y 0.2464 0.0000 0.7972
Cd1 Cd 0.0954 0.5000 0.9302
Fe1 Fe 0.2183 0.0000 0.4467
```

Uncorrected energy   -5.886 eV per atom
Size of the total moment   4.17 μB per cell
Calculated volume   517 Å³ per cell
Mass density   5.6 g/cm3
Crystal system   monoclinic
Distance to the lowest polymorph of the same formula   0 meV/atom


First-principles (PBE) data for crystalline YCdFe2 at its relaxed geometry, as listed in the Alexandria database.

Structure (CIF):
```
data_YCdFe2
_chemical_formula_sum 'Y3 Cd3 Fe6'
_space_group_name_H-M_alt 'R 3 m'
_space_group_IT_number 160
_space_group_name_Hall 'R 3 -2"'
_cell_length_a 3.1677
_cell_length_b 3.1677
_cell_length_c 26.3878
_cell_angle_alpha 90.00
_cell_angle_beta 90.00
_cell_angle_gamma 120.00
loop_
_atom_site_label
_atom_site_type_symbol
_atom_site_fract_x
_atom_site_fract_y
_atom_site_fract_z
Y1 Y 0.0000 0.0000 0.0000
Cd1 Cd 0.0000 0.0000 0.2280
Fe1 Fe 0.0000 0.0000 0.4788
Fe2 Fe 0.0000 0.0000 0.7524
```

Uncorrected energy   -5.700 eV per atom
Size of the total moment   15.26 μB per cell
Calculated volume   229 Å³ per cell
Mass density   6.8 g/cm3
Crystal system   trigonal


First-principles (PBE) data for crystalline Y5CdFe2 at its relaxed geometry, as listed in the Alexandria database.

Structure (CIF):
```
data_Y5CdFe2
_chemical_formula_sum 'Y20 Cd4 Fe8'
_space_group_name_H-M_alt 'I 4/m c m'
_space_group_IT_number 140
_space_group_name_Hall '-I 4 2c'
_cell_length_a 7.5930
_cell_length_b 7.5930
_cell_length_c 13.9932
_cell_angle_alpha 90.00
_cell_angle_beta 90.00
_cell_angle_gamma 90.00
loop_
_atom_site_label
_atom_site_type_symbol
_atom_site_fract_x
_atom_site_fract_y
_atom_site_fract_z
Y1 Y 0.0000 0.0000 0.0000
Y2 Y 0.1707 0.3293 0.1361
Cd1 Cd 0.0000 0.0000 0.2500
Fe1 Fe 0.1071 0.3929 0.5000
```

Uncorrected energy   -6.345 eV per atom
Size of the total moment   5.11 μB per cell
Calculated volume   807 Å³ per cell
Mass density   5.5 g/cm3
Crystal system   tetragonal


First-principles (PBE) data for crystalline Y12CdFe6 at its relaxed geometry, as listed in the Alexandria database.

Structure (CIF):
```
data_Y12CdFe6
_chemical_formula_sum 'Y24 Cd2 Fe12'
_space_group_name_H-M_alt 'I m -3'
_space_group_IT_number 204
_space_group_name_Hall '-I 2 2 3'
_cell_length_a 9.7543
_cell_length_b 9.7543
_cell_length_c 9.7543
_cell_angle_alpha 90.00
_cell_angle_beta 90.00
_cell_angle_gamma 90.00
loop_
_atom_site_label
_atom_site_type_symbol
_atom_site_fract_x
_atom_site_fract_y
_atom_site_fract_z
Y1 Y 0.0000 0.1951 0.2986
Cd1 Cd 0.0000 0.0000 0.0000
Fe1 Fe 0.0000 0.3912 0.5000
```

Uncorrected energy   -6.847 eV per atom
Size of the total moment   11.82 μB per cell
Calculated volume   928 Å³ per cell
Mass density   5.4 g/cm3
Crystal system   cubic


First-principles (PBE) data for crystalline YCdFe2 at its relaxed geometry, as listed in the Alexandria database.

Structure (CIF):
```
data_YCdFe2
_chemical_formula_sum 'Y1 Cd1 Fe2'
_space_group_name_H-M_alt 'P 4 m m'
_space_group_IT_number 99
_cell_length_a 3.1885
_cell_length_b 3.1885
_cell_length_c 7.2038
_cell_angle_alpha 90.00
_cell_angle_beta 90.00
_cell_angle_gamma 90.00
loop_
_space_group_symop_operation_xyz
'x,y,z'
'-y,x,z'
'-x,-y,z'
'y,-x,z'
'-x,y,z'
'y,x,z'
'x,-y,z'
'-y,-x,z'
loop_
_atom_site_label
_atom_site_type_symbol
_atom_site_fract_x
_atom_site_fract_y
_atom_site_fract_z
Y1 Y 0.0000 0.0000 0.0000
Cd1 Cd 0.5000 0.5000 0.3382
Fe1 Fe 0.0000 0.0000 0.5845
Fe2 Fe 0.5000 0.5000 0.7301
```

Uncorrected energy   -5.989 eV per atom
Size of the total moment   4.66 μB per cell
Calculated volume   73 Å³ per cell
Mass density   7.1 g/cm3
Crystal system   tetragonal


First-principles (PBE) data for crystalline YCd2Fe at its relaxed geometry, as listed in the Alexandria database.

Structure (CIF):
```
data_YCd2Fe
_chemical_formula_sum 'Y1 Cd2 Fe1'
_space_group_name_H-M_alt 'P 1 2/m 1'
_space_group_IT_number 10
_cell_length_a 3.2591
_cell_length_b 4.8423
_cell_length_c 5.5719
_cell_angle_alpha 90.00
_cell_angle_beta 104.24
_cell_angle_gamma 90.00
loop_
_space_group_symop_operation_xyz
'x,y,z'
'-x,-y,-z'
'-x,y,-z'
'x,-y,z'
loop_
_atom_site_label
_atom_site_type_symbol
_atom_site_fract_x
_atom_site_fract_y
_atom_site_fract_z
Y1 Y 0.0000 0.0000 0.0000
Cd1 Cd 0.3558 0.5000 0.7242
Fe1 Fe 0.5000 0.0000 0.5000
```

Uncorrected energy   -4.055 eV per atom
Size of the total moment   2.10 μB per cell
Calculated volume   85 Å³ per cell
Mass density   7.2 g/cm3
Crystal system   monoclinic


First-principles (PBE) data for crystalline YCd2Fe at its relaxed geometry, as listed in the Alexandria database.

Structure (CIF):
```
data_YCd2Fe
_chemical_formula_sum 'Y1 Cd2 Fe1'
_space_group_name_H-M_alt 'P m m 2'
_space_group_IT_number 25
_cell_length_a 3.2282
_cell_length_b 3.3705
_cell_length_c 7.8001
_cell_angle_alpha 90.00
_cell_angle_beta 90.00
_cell_angle_gamma 90.00
loop_
_space_group_symop_operation_xyz
'x,y,z'
'-x,-y,z'
'-x,y,z'
'x,-y,z'
loop_
_atom_site_label
_atom_site_type_symbol
_atom_site_fract_x
_atom_site_fract_y
_atom_site_fract_z
Y1 Y 0.0000 0.0000 0.0000
Cd1 Cd 0.0000 0.0000 0.5685
Cd2 Cd 0.5000 0.5000 0.3085
Fe1 Fe 0.5000 0.5000 0.7674
```

Uncorrected energy   -4.117 eV per atom
Size of the total moment   2.18 μB per cell
Calculated volume   85 Å³ per cell
Mass density   7.2 g/cm3
Crystal system   orthorhombic


First-principles (PBE) data for crystalline YCd2Fe at its relaxed geometry, as listed in the Alexandria database.

Structure (CIF):
```
data_YCd2Fe
_chemical_formula_sum 'Y2 Cd4 Fe2'
_space_group_name_H-M_alt 'I m m 2'
_space_group_IT_number 44
_cell_length_a 4.6215
_cell_length_b 4.6337
_cell_length_c 7.8544
_cell_angle_alpha 90.00
_cell_angle_beta 90.00
_cell_angle_gamma 90.00
loop_
_space_group_symop_operation_xyz
'x,y,z'
'-x,-y,z'
'-x,y,z'
'x,-y,z'
'x+1/2,y+1/2,z+1/2'
'-x+1/2,-y+1/2,z+1/2'
'-x+1/2,y+1/2,z+1/2'
'x+1/2,-y+1/2,z+1/2'
loop_
_atom_site_label
_atom_site_type_symbol
_atom_site_fract_x
_atom_site_fract_y
_atom_site_fract_z
Y1 Y 0.0000 0.0000 0.0000
Cd1 Cd 0.0000 0.0000 0.5003
Cd2 Cd 0.0000 0.5000 0.7504
Fe1 Fe 0.0000 0.5000 0.2499
```

Uncorrected energy   -4.072 eV per atom
Size of the total moment   5.21 μB per cell
Calculated volume   168 Å³ per cell
Mass density   7.3 g/cm3
Crystal system   orthorhombic


First-principles (PBE) data for crystalline YCdFe2 at its relaxed geometry, as listed in the Alexandria database.

Structure (CIF):
```
data_YCdFe2
_chemical_formula_sum 'Y4 Cd4 Fe8'
_space_group_name_H-M_alt 'I -4 2 d'
_space_group_IT_number 122
_space_group_name_Hall 'I -4 2bw'
_cell_length_a 7.4641
_cell_length_b 7.4641
_cell_length_c 5.7258
_cell_angle_alpha 90.00
_cell_angle_beta 90.00
_cell_angle_gamma 90.00
loop_
_atom_site_label
_atom_site_type_symbol
_atom_site_fract_x
_atom_site_fract_y
_atom_site_fract_z
Y1 Y 0.0000 0.0000 0.0000
Cd1 Cd 0.0000 0.0000 0.5000
Fe1 Fe 0.2309 0.2500 0.6250
```

Uncorrected energy   -5.460 eV per atom
Size of the total moment   17.39 μB per cell
Calculated volume   319 Å³ per cell
Mass density   6.5 g/cm3
Crystal system   tetragonal